The following is a PBE calculation of Ba3YSn8 after structural relaxation, from Alexandria via LeMat-Bulk.

Unit cell a=8.539 b=8.539 c=8.539 alpha=111.16 beta=111.16 gamma=106.14
Positions (direct):
Ba: 0.000 0.000 0.000
Ba: 0.250 0.750 0.500
Ba: 0.750 0.250 0.500
Y: 0.500 0.500 0.000
Sn: 0.134 0.134 0.692
Sn: 0.201 0.639 0.000
Sn: 0.361 0.361 0.562
Sn: 0.441 0.441 0.308
Sn: 0.559 0.866 0.000
Sn: 0.639 0.201 0.000
Sn: 0.799 0.799 0.438
Sn: 0.866 0.559 0.000

Its formation energy is -225 meV per atom. As for the raw total energy: -46.95 eV per cell.

The following is a PBE calculation of Sr2ScAl after structural relaxation, from Alexandria via LeMat-Bulk.

Unit cell a=5.070 b=7.218 c=7.218 alpha=32.13 beta=90.00 gamma=90.00
Positions (direct):
Sr: 0.000 0.000 0.000
Sr: 0.500 0.315 0.315
Sc: 0.000 0.706 0.706
Al: 0.500 0.605 0.605

Its formation energy is 93 meV per atom. As for the raw total energy: -13.07 eV per cell.

The following is a PBE calculation of UGa3Rh2 after structural relaxation, from Alexandria via LeMat-Bulk.

Unit cell a=8.690 b=8.690 c=9.434 alpha=102.94 beta=102.94 gamma=27.04
Positions (direct):
U: 0.000 0.000 0.000
U: 0.150 0.150 0.685
U: 0.850 0.850 0.315
Ga: 0.048 0.048 0.358
Ga: 0.220 0.220 0.369
Ga: 0.350 0.350 0.809
Ga: 0.353 0.353 0.077
Ga: 0.500 0.500 0.500
Ga: 0.647 0.647 0.923
Ga: 0.650 0.650 0.191
Ga: 0.780 0.780 0.631
Ga: 0.952 0.952 0.642
Rh: 0.207 0.207 0.081
Rh: 0.359 0.359 0.542
Rh: 0.499 0.499 0.206
Rh: 0.501 0.501 0.794
Rh: 0.641 0.641 0.458
Rh: 0.793 0.793 0.919

Its formation energy is -471 meV per atom. As for the raw total energy: -113.70 eV per cell.

The following is a PBE calculation of Pu4Te3As after structural relaxation, from Alexandria via LeMat-Bulk.

Unit cell a=7.588 b=7.588 c=4.359 alpha=90.00 beta=90.00 gamma=109.29
Positions (direct):
Pu: 0.231 0.231 0.500
Pu: 0.240 0.760 0.000
Pu: 0.760 0.240 0.000
Pu: 0.769 0.769 0.500
Te: 0.000 0.500 0.500
Te: 0.500 0.000 0.500
Te: 0.500 0.500 0.000
As: 0.000 0.000 0.000

The calculation puts the uncorrected formation energy at -1.079 eV per atom. As for the raw total energy: -80.03 eV per cell.

The following is a PBE calculation of TeRhN2F after structural relaxation, from Alexandria via LeMat-Bulk.

Unit cell a=4.023 b=4.023 c=4.044 alpha=90.00 beta=90.00 gamma=90.00
Positions (direct):
Te: 0.000 0.000 0.000
Rh: 0.500 0.500 0.500
N: 0.000 0.500 0.500
N: 0.500 0.000 0.500
F: 0.500 0.500 0.000

The calculation puts the uncorrected formation energy at 0.732 eV per atom. As for the raw total energy: -25.35 eV per cell.

The following is a PBE calculation of GdTm2Au after structural relaxation, from Alexandria via LeMat-Bulk.

Unit cell a=10.117 b=10.117 c=10.117 alpha=20.86 beta=20.86 gamma=20.86
Positions (direct):
Gd: 0.000 0.000 0.000
Tm: 0.235 0.235 0.235
Tm: 0.765 0.765 0.765
Au: 0.500 0.500 0.500

Its formation energy is -285 meV per atom. As for the raw total energy: -27.44 eV per cell.